(1)
## Ac2In8Ir (PBE-GGA)

Data for Ac2In8Ir after structural relaxation.

Lattice parameters (Å, degrees): 4.8429 4.8429 12.7661 90.00 90.00 90.00
Atoms (fractional coordinates):
Ac: 0.0000 0.0000 0.6974
Ac: 0.0000 0.0000 0.3026
In: 0.0000 0.5000 0.5000
In: 0.5000 0.0000 0.5000
In: 0.5000 0.0000 0.1145
In: 0.5000 0.5000 0.6961
In: 0.0000 0.5000 0.1145
In: 0.0000 0.5000 0.8855
In: 0.5000 0.5000 0.3039
In: 0.5000 0.0000 0.8855
Ir: 0.0000 0.0000 0.0000

Calculated values
N(E_F) = 0.556 states/eV per atom
magnetic moment = 0.0000 μB/atom

(2)
## Ac3In4Ir2 (PBE-GGA)

Data for Ac3In4Ir2 after structural relaxation.

Lattice parameters (Å, degrees): 4.4203 6.6629 9.6140 72.62 76.71 70.63
Atoms (fractional coordinates):
Ac: 0.3072 0.7618 0.6238
Ac: 0.6928 0.2382 0.3762
Ac: 0.0000 0.0000 0.0000
In: 0.0120 0.3196 0.6565
In: 0.7496 0.5960 0.9049
In: 0.9880 0.6804 0.3435
In: 0.2504 0.4040 0.0951
Ir: 0.3827 0.9674 0.2671
Ir: 0.6173 0.0326 0.7329

Calculated values
N(E_F) = 0.703 states/eV per atom
magnetic moment = 0.0000 μB/atom

(3)
## Ac11In9Ir4 (PBE-GGA)

Data for Ac11In9Ir4 after structural relaxation.

Lattice parameters (Å, degrees): 4.0846 14.0222 14.0222 112.50 90.00 90.00
Atoms (fractional coordinates):
Ac: 0.0000 0.3136 0.3136
Ac: 0.0000 0.8362 0.1638
Ac: 0.0000 0.5827 0.9200
Ac: 0.0000 0.9200 0.5827
Ac: 0.0000 0.4173 0.0800
Ac: 0.0000 0.0000 0.0000
Ac: 0.0000 0.0800 0.4173
Ac: 0.0000 0.6235 0.3765
Ac: 0.0000 0.1638 0.8362
Ac: 0.0000 0.6864 0.6864
Ac: 0.0000 0.3765 0.6235
In: 0.5000 0.6342 0.1659
In: 0.5000 0.2189 0.0807
In: 0.5000 0.5000 0.5000
In: 0.5000 0.7811 0.9193
In: 0.5000 0.9193 0.7811
In: 0.5000 0.0807 0.2189
In: 0.5000 0.1659 0.6342
In: 0.5000 0.3658 0.8341
In: 0.5000 0.8341 0.3658
Ir: 0.5000 0.7571 0.5525
Ir: 0.5000 0.2429 0.4475
Ir: 0.5000 0.5525 0.7571
Ir: 0.5000 0.4475 0.2429

Calculated values
N(E_F) = 0.856 states/eV per atom
magnetic moment = 0.0000 μB/atom

(4)
## Ac8In2Ir3 (PBE-GGA)

Data for Ac8In2Ir3 after structural relaxation.

Lattice parameters (Å, degrees): 7.3283 7.5462 9.7151 110.06 110.51 81.52
Atoms (fractional coordinates):
Ac: 0.6881 0.6078 0.9124
Ac: 0.9629 0.2762 0.6254
Ac: 0.1095 0.8424 0.8279
Ac: 0.0371 0.7238 0.3746
Ac: 0.5396 0.0447 0.7219
Ac: 0.4604 0.9553 0.2781
Ac: 0.8905 0.1576 0.1721
Ac: 0.3119 0.3922 0.0876
Ir: 0.0874 0.7639 0.1034
Ir: 0.9126 0.2361 0.8966
Ir: 0.5000 0.0000 0.0000
In: 0.3496 0.3985 0.5223
In: 0.6504 0.6015 0.4777

Calculated values
N(E_F) = 0.702 states/eV per atom
magnetic moment = 0.0000 μB/atom
distance to the lowest polymorph of the same formula = 0 meV/atom

(5)
## AcInIr (PBE-GGA)

Data for AcInIr after structural relaxation.

Lattice parameters (Å, degrees): 4.3892 7.7644 13.2318 89.64 90.00 90.00
Atoms (fractional coordinates):
Ir: 0.2500 0.7433 0.2484
Ir: 0.7500 0.2373 0.0885
Ir: 0.2500 0.2382 0.4190
Ir: 0.7500 0.7618 0.5810
Ir: 0.7500 0.2567 0.7516
Ir: 0.2500 0.7627 0.9115
In: 0.2500 0.8590 0.4584
In: 0.7500 0.0034 0.9164
In: 0.2500 0.3691 0.2018
In: 0.7500 0.6309 0.7982
In: 0.2500 0.9966 0.0836
In: 0.7500 0.1410 0.5416
Ac: 0.2500 0.3424 0.9183
Ac: 0.2500 0.9591 0.7133
Ac: 0.7500 0.6576 0.0817
Ac: 0.7500 0.0409 0.2867
Ac: 0.7500 0.5375 0.3757
Ac: 0.2500 0.4625 0.6243

Calculated values
N(E_F) = 0.688 states/eV per atom
magnetic moment = 0.0000 μB/atom
distance to the lowest polymorph of the same formula = 2 meV/atom

(6)
## Ac6In3Ir (PBE-GGA)

Data for Ac6In3Ir after structural relaxation.

Lattice parameters (Å, degrees): 9.2356 9.2356 9.2356 92.82 92.82 92.82
Atoms (fractional coordinates):
Ac: 0.3066 0.0787 0.9497
Ac: 0.5788 0.8066 0.4498
Ac: 0.5502 0.4212 0.1934
Ac: 0.1934 0.5502 0.4212
Ac: 0.8066 0.4498 0.5788
Ac: 0.0503 0.6934 0.9213
Ac: 0.6934 0.9213 0.0503
Ac: 0.9213 0.0503 0.6934
Ac: 0.4212 0.1934 0.5502
Ac: 0.0787 0.9497 0.3066
Ac: 0.9497 0.3066 0.0787
Ac: 0.4498 0.5788 0.8066
Ir: 0.5000 0.5000 0.5000
Ir: 0.0000 0.0000 0.0000
In: 0.1407 0.3595 0.7501
In: 0.2499 0.8593 0.6405
In: 0.8593 0.6405 0.2499
In: 0.6405 0.2499 0.8593
In: 0.7501 0.1407 0.3595
In: 0.3595 0.7501 0.1407

Calculated values
N(E_F) = 1.092 states/eV per atom
magnetic moment = 0.0000 μB/atom

(7)
## Ac8InIr2 (PBE-GGA)

Data for Ac8InIr2 after structural relaxation.

Lattice parameters (Å, degrees): 6.1178 8.6725 8.6725 114.56 97.25 97.25
Atoms (fractional coordinates):
Ir: 0.0000 0.2942 0.7058
Ir: 0.0000 0.7058 0.2942
Ac: 0.7015 0.3887 0.3887
Ac: 0.5000 0.7536 0.2464
Ac: 0.9222 0.6640 0.9234
Ac: 0.0778 0.3360 0.0766
Ac: 0.9222 0.9234 0.6640
Ac: 0.0778 0.0766 0.3360
Ac: 0.5000 0.2464 0.7536
Ac: 0.2985 0.6113 0.6113
In: 0.5000 0.0000 0.0000

Calculated values
N(E_F) = 1.169 states/eV per atom
magnetic moment = 0.0000 μB/atom

(8)
## Ac7In3Ir2 (PBE-GGA)

Data for Ac7In3Ir2 after structural relaxation.

Lattice parameters (Å, degrees): 5.7172 5.7863 14.1645 101.79 90.00 90.00
Atoms (fractional coordinates):
Ac: 0.0000 0.0000 0.0000
Ac: 0.5000 0.0953 0.1906
Ac: 0.0000 0.3908 0.7815
Ac: 0.5000 0.9047 0.8094
Ac: 0.0000 0.7892 0.5783
Ac: 0.0000 0.2108 0.4217
Ac: 0.0000 0.6092 0.2185
Ir: 0.0000 0.8940 0.7879
Ir: 0.0000 0.1060 0.2121
In: 0.5000 0.5000 0.0000
In: 0.5000 0.2961 0.5922
In: 0.5000 0.7039 0.4078

Calculated values
N(E_F) = 1.124 states/eV per atom
magnetic moment = 0.0000 μB/atom

(9)
## Ac5InIr2 (PBE-GGA)

Data for Ac5InIr2 after structural relaxation.

Lattice parameters (Å, degrees): 8.4229 8.4229 9.5601 116.14 116.14 90.00
Atoms (fractional coordinates):
Ac: 0.2918 0.7918 0.2616
Ac: 0.5302 0.7082 0.7384
Ac: 0.4698 0.2918 0.2616
Ac: 0.2082 0.0302 0.7384
Ac: 0.5000 0.5000 0.0000
Ac: 0.9698 0.4698 0.2616
Ac: 0.7082 0.2082 0.7384
Ac: 0.0302 0.5302 0.7384
Ac: 0.0000 0.0000 0.0000
Ac: 0.7918 0.9698 0.2616
Ir: 0.6403 0.1403 0.0000
Ir: 0.8597 0.6403 0.0000
Ir: 0.3597 0.8597 0.0000
Ir: 0.1403 0.3597 0.0000
In: 0.7500 0.7500 0.5000
In: 0.2500 0.2500 0.5000

Calculated values
N(E_F) = 1.176 states/eV per atom
magnetic moment = 0.0000 μB/atom

(10)
## Ac2LaInIr (PBE-GGA)

Data for Ac2LaInIr after structural relaxation.

Lattice parameters (Å, degrees): 5.8419 5.8419 5.5349 90.00 90.00 90.00
Atoms (fractional coordinates):
Ac: 0.0000 0.5000 0.9994
Ac: 0.5000 0.0000 0.9995
In: 0.5000 0.5000 0.5011
La: 0.0000 0.0000 0.4999
Ir: 0.0000 0.0000 0.0000

Calculated values
N(E_F) = 1.220 states/eV per atom
magnetic moment = 0.0000 μB/atom

(11)
## LiAc2In6Ir (PBE-GGA)

Data for LiAc2In6Ir after structural relaxation.

Lattice parameters (Å, degrees): 7.2610 7.2610 7.2389 60.08 60.08 90.06
Atoms (fractional coordinates):
Ac: 0.2496 0.7504 0.5000
Ac: 0.7504 0.2496 0.5000
Ir: 0.0000 0.0000 0.0000
In: 0.2578 0.2578 0.0002
In: 0.7422 0.7422 0.9998
In: 0.2578 0.7422 0.0000
In: 0.2578 0.2578 0.4841
In: 0.7422 0.2578 0.0000
In: 0.7422 0.7422 0.5159
Li: 0.5000 0.5000 0.0000

Calculated values
N(E_F) = 0.400 states/eV per atom
magnetic moment = 0.0000 μB/atom

(12)
## LiAc2In12Ir3 (PBE-GGA)

Data for LiAc2In12Ir3 after structural relaxation.

Lattice parameters (Å, degrees): 8.6143 8.6143 8.6143 70.35 70.35 70.35
Atoms (fractional coordinates):
In: 0.2828 0.8895 0.2828
In: 0.1434 0.1434 0.6223
In: 0.1434 0.6223 0.1434
In: 0.6223 0.1434 0.1434
In: 0.2828 0.2828 0.8895
In: 0.3777 0.8566 0.8566
In: 0.1105 0.7172 0.7172
In: 0.7172 0.7172 0.1105
In: 0.7172 0.1105 0.7172
In: 0.8895 0.2828 0.2828
In: 0.8566 0.8566 0.3777
In: 0.8566 0.3777 0.8566
Ir: 0.5000 0.0000 0.0000
Ir: 0.0000 0.5000 0.0000
Ir: 0.0000 0.0000 0.5000
Ac: 0.5947 0.5947 0.5947
Ac: 0.4053 0.4053 0.4053
Li: 0.0000 0.0000 0.0000

Calculated values
N(E_F) = 0.865 states/eV per atom
magnetic moment = 0.0000 μB/atom

(13)
## LiAc2InIr (PBE-GGA)

Data for LiAc2InIr after structural relaxation.

Lattice parameters (Å, degrees): 4.3190 8.4367 8.6603 109.97 90.00 90.00
Atoms (fractional coordinates):
Ac: 0.2500 0.2777 0.9775
Ac: 0.2500 0.1073 0.3406
Ac: 0.7500 0.8927 0.6594
Ac: 0.7500 0.7223 0.0225
Ir: 0.2500 0.8903 0.8974
Ir: 0.7500 0.1097 0.1026
Li: 0.2500 0.5716 0.6565
Li: 0.7500 0.4284 0.3435
In: 0.2500 0.6669 0.3280
In: 0.7500 0.3331 0.6720

Calculated values
N(E_F) = 0.852 states/eV per atom
magnetic moment = 0.0000 μB/atom

(14)
## Ac2MgIn6Ir (PBE-GGA)

Data for Ac2MgIn6Ir after structural relaxation.

Lattice parameters (Å, degrees): 7.4751 7.4002 7.4410 47.76 85.71 104.25
Atoms (fractional coordinates):
In: 0.2839 0.8018 0.0032
In: 0.9173 0.7516 0.8432
In: 0.2750 0.2810 0.5145
In: 0.0827 0.2484 0.1568
In: 0.7161 0.1982 0.9968
In: 0.7250 0.7190 0.4855
Ir: 0.0000 0.0000 0.0000
Mg: 0.5000 0.5000 0.0000
Ac: 0.2419 0.7393 0.4998
Ac: 0.7581 0.2607 0.5002

Calculated values
N(E_F) = 0.492 states/eV per atom
magnetic moment = 0.0000 μB/atom

(15)
## Ac2MgIn12Ir3 (PBE-GGA)

Data for Ac2MgIn12Ir3 after structural relaxation.

Lattice parameters (Å, degrees): 8.6688 8.6688 8.6688 69.66 69.66 69.66
Atoms (fractional coordinates):
In: 0.1114 0.7167 0.7167
In: 0.1447 0.6146 0.1447
In: 0.6146 0.1447 0.1447
In: 0.3854 0.8553 0.8553
In: 0.2833 0.8886 0.2833
In: 0.1447 0.1447 0.6146
In: 0.8553 0.3854 0.8553
In: 0.7167 0.1114 0.7167
In: 0.8886 0.2833 0.2833
In: 0.7167 0.7167 0.1114
In: 0.2833 0.2833 0.8886
In: 0.8553 0.8553 0.3854
Ir: 0.0000 0.0000 0.5000
Ir: 0.0000 0.5000 0.0000
Ir: 0.5000 0.0000 0.0000
Ac: 0.5945 0.5945 0.5945
Ac: 0.4055 0.4055 0.4055
Mg: 0.0000 0.0000 0.0000

Calculated values
N(E_F) = 0.673 states/eV per atom
magnetic moment = 0.0000 μB/atom

(16)
## AcIn3NiIr (PBE-GGA)

Data for AcIn3NiIr after structural relaxation.

Lattice parameters (Å, degrees): 7.6053 7.1280 6.5916 122.73 90.00 90.00
Atoms (fractional coordinates):
In: 0.0000 0.7585 0.0000
In: 0.2500 0.2262 0.4524
In: 0.0000 0.2415 0.0000
In: 0.7500 0.7738 0.5476
In: 0.5000 0.7585 0.0000
In: 0.5000 0.2415 0.0000
Ac: 0.2500 0.7342 0.4684
Ac: 0.7500 0.2658 0.5316
Ir: 0.2500 0.4604 0.9208
Ir: 0.7500 0.5396 0.0792
Ni: 0.2500 0.0013 0.0025
Ni: 0.7500 0.9987 0.9975

Calculated values
N(E_F) = 0.576 states/eV per atom
magnetic moment = 0.0000 μB/atom

(17)
## AcIn2IrO8 (PBE-GGA)

Data for AcIn2IrO8 after structural relaxation.

Lattice parameters (Å, degrees): 4.9727 4.9589 6.9607 90.00 90.00 89.68
Last column: magnetic moment on the atom in μB.
Atoms (fractional coordinates):
Ac: 0.0000 0.0000 0.5000  0.01
O: 0.6707 0.6749 0.5000  0.02
O: 0.1878 0.8082 0.8001  0.13
O: 0.8122 0.1918 0.1999  0.13
O: 0.2835 0.2801 0.0000  0.07
O: 0.1878 0.8082 0.1999  0.13
O: 0.3293 0.3251 0.5000  0.02
O: 0.8122 0.1918 0.8001  0.13
O: 0.7165 0.7199 0.0000  0.07
In: 0.5000 0.5000 0.2388  0.01
In: 0.5000 0.5000 0.7612  0.01
Ir: 0.0000 0.0000 0.0000  0.86

Calculated values
N(E_F) = 0.473 states/eV per atom
formation energy (no corrections) = -1.4403 eV/atom
magnetic moment = 0.1485 μB/atom

(18)
## Ac2InIrO6 (PBE-GGA)

Data for Ac2InIrO6 after structural relaxation.

Lattice parameters (Å, degrees): 5.8317 5.9238 8.2760 90.00 90.00 90.00
Atoms (fractional coordinates):
Ac: 0.5000 0.7679 0.7647
Ac: 0.5000 0.7679 0.2353
Ac: 0.0000 0.2321 0.7353
Ac: 0.0000 0.2321 0.2647
Ir: 0.5000 0.2459 0.0000
Ir: 0.0000 0.7541 0.5000
O: 0.2718 0.5096 0.0000
O: 0.7718 0.4904 0.5000
O: 0.2330 0.0139 0.5000
O: 0.5000 0.2172 0.2469
O: 0.0000 0.7828 0.7469
O: 0.7670 0.0139 0.5000
O: 0.0000 0.7828 0.2531
O: 0.7330 0.9861 0.0000
O: 0.5000 0.2172 0.7531
O: 0.2282 0.4904 0.5000
O: 0.2670 0.9861 0.0000
O: 0.7282 0.5096 0.0000
In: 0.0000 0.7398 0.0000
In: 0.5000 0.2602 0.5000

Calculated values
formation energy (no corrections) = -2.0770 eV/atom
magnetic moment = 0.0000 μB/atom

(19)
## Ac2InIrPb (PBE-GGA)

Data for Ac2InIrPb after structural relaxation.

Lattice parameters (Å, degrees): 4.3255 8.5579 9.8592 107.76 90.00 90.00
Atoms (fractional coordinates):
Ac: 0.7500 0.8087 0.6302
Ac: 0.2500 0.2008 0.9676
Ac: 0.7500 0.7992 0.0324
Ac: 0.2500 0.1913 0.3698
Ir: 0.2500 0.8188 0.8302
Ir: 0.7500 0.1812 0.1698
Pb: 0.2500 0.7603 0.3262
Pb: 0.7500 0.2397 0.6738
In: 0.7500 0.5060 0.2565
In: 0.2500 0.4940 0.7435

Calculated values
N(E_F) = 0.544 states/eV per atom
magnetic moment = 0.0000 μB/atom

no.,E (eV per atom)
1,-3.904
2,-5.061
3,-4.916
4,-5.494
5,-5.836
6,-4.511
7,-5.130
8,-4.917
9,-5.650
10,-5.357
11,-3.769
12,-3.828
13,-4.772
14,-3.738
15,-3.805
16,-4.665
17,-6.283
18,-7.034
19,-5.160